Be2Hg | PBE-GGA | optimized geometry

Cell lengths 12.9427, 12.9427, 12.9427 Å; angles 163.89, 163.89, 22.86 degrees
With the nearest neighbours (Å) after each atom.
Fractional positions:
Be (0.7490, 0.7490, 0.0000)  4 Be 2.12-2.15
Be (0.2510, 0.2510, 0.0000)  4 Be 2.12-2.15
Be (0.9990, 0.4990, 0.5000)  4 Be 2.12-2.15
Be (0.5010, 0.0010, 0.5000)  4 Be 2.12-2.15
Be (0.5444, 0.5444, 0.0000)  5 Be 2.12-2.25
Be (0.4556, 0.4556, 0.0000)  5 Be 2.12-2.25
Be (0.7944, 0.2944, 0.5000)  5 Be 2.12-2.25
Be (0.7056, 0.2056, 0.5000)  5 Be 2.12-2.25
Hg (0.9227, 0.9227, 0.0000)  8 Be 2.65-2.70
Hg (0.0773, 0.0773, 0.0000)  8 Be 2.65-2.70
Hg (0.1727, 0.6727, 0.5000)  8 Be 2.65-2.70
Hg (0.3273, 0.8273, 0.5000)  8 Be 2.65-2.70

Uncorrected energy ... -26.3 eV/cell
Space-group type ... I4_1/amd, No. 141
Energy above the most stable polymorph in this dataset ... 0.128 eV per atom
DOS(E_F) ... 0.81 states/eV/f.u.
Formation energy ... 0.3909 eV per atom
Theoretical density ... 8.7 g cm⁻³